Record 1
Density functional theory data (PBE) for a relaxed Ho5Er8Tm crystal.

POSCAR file:
```
Ho5Er8Tm
1.0
7.991 -0.835 -3.170
-4.515 7.506 -3.043
-0.472 -0.747 8.374
Ho Er Tm
5 8 1
direct
0.053 0.394 0.230
0.805 0.009 0.249
0.803 0.714 0.839
0.554 0.035 0.449
0.303 0.920 0.930
0.054 0.534 0.949
0.042 0.117 0.795
0.803 0.420 0.430
0.565 0.312 0.884
0.542 0.617 0.294
0.553 0.894 0.729
0.303 0.215 0.340
0.066 0.811 0.384
0.304 0.509 0.748
```

Output
- space-group type = No. 1
- N(E_F) (states/eV/f.u.) = 23.27
- E (eV per atom) = -4.521
- total magnetization (Bohr magnetons per cell) = 0.00
- volume (Å³/f.u.) = 429.47
- formation energy from the elements (eV per atom) = 0.041

Record 2
Density functional theory data (PBE) for a relaxed Be3NbCr crystal.

POSCAR file:
```
Be3NbCr
1.0
4.230 0.000 0.000
0.000 4.230 0.000
0.000 0.000 4.230
Cr Nb Be
1 1 3
direct
0.500 0.500 0.500
0.000 0.000 0.000
0.000 0.500 0.000
0.000 0.000 0.500
0.500 0.000 0.000
```

Output
- space-group type = No. 221
- N(E_F) (states/eV/f.u.) = 12.45
- E (eV per atom) = -4.293
- total magnetization (Bohr magnetons per cell) = 0.00
- volume (Å³/f.u.) = 75.69
- formation energy from the elements (eV per atom) = 1.881

Record 3
Density functional theory data (PBE) for a relaxed KCaMn2 crystal.

POSCAR file:
```
KCaMn2
1.0
-3.220 -2.563 -3.708
-0.306 -3.774 -4.044
-1.955 -5.926 4.421
Ca K Mn
1 1 2
direct
0.750 0.750 0.750
0.250 0.250 0.250
0.001 0.001 0.889
0.499 0.499 0.611
```

Output
- space-group type = No. 12
- N(E_F) (states/eV/f.u.) = 3.52
- E (eV per atom) = -4.556
- total magnetization (Bohr magnetons per cell) = 7.25
- volume (Å³/f.u.) = 127.78
- formation energy from the elements (eV per atom) = 0.804

Record 4
Density functional theory data (PBE) for a relaxed LaBeP3 crystal.

POSCAR file:
```
LaBeP3
1.0
-0.211 -4.390 0.770
3.425 -0.653 -2.784
2.852 0.459 3.401
P Be La
3 1 1
direct
0.000 0.500 0.000
0.000 0.000 0.500
0.500 0.000 0.000
0.000 0.000 0.000
0.500 0.500 0.500
```

Output
- space-group type = No. 221
- N(E_F) (states/eV/f.u.) = 3.02
- E (eV per atom) = -5.276
- total magnetization (Bohr magnetons per cell) = 0.00
- volume (Å³/f.u.) = 88.85
- formation energy from the elements (eV per atom) = -0.299

Record 5
Density functional theory data (PBE) for a relaxed CuTe2Br8 crystal.

POSCAR file:
```
CuTe2Br8
1.0
-6.945 1.598 -1.305
-4.562 -6.819 2.638
-3.994 -0.273 7.632
Cu Te Br
1 2 8
direct
0.000 0.000 0.000
0.428 0.137 0.137
0.572 0.863 0.863
0.790 0.173 0.760
0.210 0.240 0.827
0.677 0.226 0.226
0.323 0.774 0.774
0.790 0.760 0.173
0.210 0.827 0.240
0.142 0.282 0.282
0.858 0.718 0.718
```

Output
- ΔE_f (raw) (eV/atom) = -0.208
- space-group type = No. 12
- N(E_F) (states/eV/f.u.) = 4.27
- E (eV per atom) = -2.368
- total magnetization (Bohr magnetons per cell) = 0.93
- volume (Å³/f.u.) = 429.19

Record 6
Density functional theory data (PBE) for a relaxed TiNiSb crystal.

POSCAR file:
```
TiNiSb
1.0
-0.706 2.045 -3.783
-2.132 -2.033 -3.212
-4.031 1.259 -1.078
Sb Ti Ni
1 1 1
direct
0.500 0.500 0.500
0.250 0.250 0.250
0.000 0.000 0.000
```

Output
- ΔE_f (raw) (eV/atom) = -0.036
- space-group type = No. 216
- N(E_F) (states/eV/f.u.) = 2.54
- E (eV per atom) = -5.969
- total magnetization (Bohr magnetons per cell) = 0.00
- volume (Å³/f.u.) = 58.53

Record 7
Density functional theory data (PBE) for a relaxed La2Ni12Ge7 crystal.

POSCAR file:
```
La2Ni12Ge7
1.0
3.889 0.000 0.000
0.000 8.213 -4.742
0.000 0.000 9.483
La Ni Ge
2 12 7
direct
0.500 0.000 0.000
0.000 0.667 0.333
0.500 0.917 0.614
0.500 0.697 0.083
0.500 0.386 0.303
0.500 0.239 0.768
0.500 0.530 0.761
0.500 0.232 0.470
0.000 0.053 0.529
0.000 0.475 0.947
0.000 0.471 0.525
0.000 0.786 0.718
0.000 0.931 0.214
0.000 0.282 0.069
0.000 0.333 0.667
0.000 0.067 0.784
0.000 0.717 0.933
0.000 0.216 0.283
0.500 0.639 0.576
0.500 0.937 0.361
0.500 0.424 0.063
```

Output
- space-group type = No. 174
- N(E_F) (states/eV/f.u.) = 13.47
- E (eV per atom) = -5.781
- total magnetization (Bohr magnetons per cell) = 0.00
- volume (Å³/f.u.) = 302.90
- formation energy from the elements (eV per atom) = -0.469

Record 8
Density functional theory data (PBE) for a relaxed Ba2GeBiAu6 crystal.

POSCAR file:
```
Ba2GeBiAu6
1.0
7.351 0.000 0.000
0.000 7.883 0.000
0.000 0.000 9.425
Ba Ge Bi Au
4 2 2 12
direct
0.500 0.758 0.267
0.000 0.242 0.767
0.500 0.758 0.733
0.000 0.242 0.233
0.500 0.422 0.500
0.000 0.578 0.000
0.000 0.906 0.500
0.500 0.094 0.000
0.500 0.286 0.253
0.500 0.286 0.747
0.000 0.714 0.247
0.000 0.714 0.753
0.309 0.116 0.500
0.691 0.116 0.500
0.183 0.533 0.500
0.817 0.533 0.500
0.683 0.467 0.000
0.317 0.467 0.000
0.191 0.884 0.000
0.809 0.884 0.000
```

Output
- space-group type = No. 59
- N(E_F) (states/eV/f.u.) = 3.64
- E (eV per atom) = -3.657
- total magnetization (Bohr magnetons per cell) = 0.00
- volume (Å³/f.u.) = 273.04
- formation energy from the elements (eV per atom) = -0.456

Record 9
Density functional theory data (PBE) for a relaxed CeY5Ho12 crystal.

POSCAR file:
```
CeY5Ho12
1.0
15.006 0.000 -0.072
7.503 7.518 -0.036
0.024 0.000 5.010
Ce Y Ho
1 5 12
direct
0.000 0.000 0.000
0.500 0.000 0.500
0.165 0.669 0.500
0.835 0.331 0.500
0.667 0.667 0.000
0.333 0.333 0.000
0.834 0.000 0.500
0.166 0.000 0.500
0.668 0.000 0.000
0.332 0.000 0.000
0.334 0.667 0.000
0.999 0.667 0.000
0.001 0.333 0.000
0.666 0.333 0.000
0.501 0.332 0.500
0.833 0.668 0.500
0.167 0.332 0.500
0.499 0.668 0.500
```

Output
- space-group type = No. 65
- N(E_F) (states/eV/f.u.) = 28.00
- E (eV per atom) = -5.142
- total magnetization (Bohr magnetons per cell) = 1.13
- volume (Å³/f.u.) = 565.20
- formation energy from the elements (eV per atom) = 0.035

Record 10
Density functional theory data (PBE) for a relaxed Cr2HgPt2 crystal.

POSCAR file:
```
Cr2HgPt2
1.0
-2.090 -7.064 -1.542
2.846 0.671 -6.936
2.454 -0.926 0.917
Cr Hg Pt
4 2 4
direct
0.408 0.908 0.000
0.908 0.592 0.000
0.592 0.092 0.000
0.092 0.408 0.000
0.000 0.000 0.000
0.500 0.500 0.000
0.193 0.693 0.500
0.693 0.807 0.500
0.807 0.307 0.500
0.307 0.193 0.500
```

Output
- space-group type = No. 127
- N(E_F) (states/eV/f.u.) = 3.30
- E (eV per atom) = -6.189
- total magnetization (Bohr magnetons per cell) = 0.00
- volume (Å³/f.u.) = 78.72
- formation energy from the elements (eV per atom) = 0.137

Record 11
Density functional theory data (PBE) for a relaxed La2HgRu crystal.

POSCAR file:
```
La2HgRu
1.0
5.606 -0.047 0.000
1.877 5.283 0.000
-3.742 -2.618 3.253
Hg La Ru
1 2 1
direct
0.750 0.250 0.500
0.000 0.000 0.000
0.250 0.750 0.500
0.500 0.500 0.000
```

Output
- space-group type = No. 119
- N(E_F) (states/eV/f.u.) = 4.13
- E (eV per atom) = -4.959
- total magnetization (Bohr magnetons per cell) = 0.00
- volume (Å³/f.u.) = 96.63
- formation energy from the elements (eV per atom) = -0.101

Record 12
Density functional theory data (PBE) for a relaxed Tb4Pr10Sm crystal.

POSCAR file:
```
Tb4Pr10Sm
1.0
7.188 0.000 3.246
3.594 8.821 1.623
-0.036 0.000 9.662
Tb Pr Sm
4 10 1
direct
0.399 0.801 0.400
0.799 0.600 0.801
0.201 0.400 0.199
0.601 0.199 0.600
0.250 0.500 0.500
0.650 0.301 0.898
0.049 0.102 0.301
0.452 0.898 0.699
0.849 0.699 0.102
0.350 0.699 0.102
0.750 0.500 0.500
0.151 0.301 0.898
0.548 0.102 0.301
0.951 0.898 0.699
0.000 0.000 0.000
```

Output
- space-group type = No. 87
- N(E_F) (states/eV/f.u.) = 22.40
- E (eV per atom) = -4.052
- total magnetization (Bohr magnetons per cell) = 0.00
- volume (Å³/f.u.) = 613.71
- formation energy from the elements (eV per atom) = 0.683